Ti3ReOs | Alexandria via LeMat-Bulk | PBE | relaxed; relative energy among the computed polymorphs = 0.000 eV per atom; total magnetic moment = 0.29 μB per formula unit; ΔE_f = 0.998 eV/atom; calculated total energy = -8.4743 eV per atom
1.0
-0.850 2.337 3.908
-4.221 1.087 -1.568
-1.708 -3.849 1.930
Re Os Ti
1 1 3
direct
0.500 0.500 0.500
0.000 0.000 0.000
0.000 0.500 0.000
0.000 0.000 0.500
0.500 0.000 0.000

***

Ta2MoSe | Alexandria via LeMat-Bulk | PBE | relaxed; total magnetic moment = 0.00 μB per formula unit; uncorrected formation energy = 0.129 eV per atom; calculated total energy = -9.3761 eV per atom
1.0
-1.993 0.266 2.384
2.810 -1.913 2.563
2.071 4.665 1.211
Mo Se Ta
1 1 2
direct
0.000 0.000 0.487
0.500 0.500 0.757
0.000 0.000 0.996
0.500 0.500 0.260

***

Ba2HoScO5 | Alexandria via LeMat-Bulk | PBE | relaxed; total magnetic moment = 0.00 μB per formula unit; uncorrected formation energy = -3.084 eV per atom; calculated total energy = -7.4776 eV per atom
1.0
3.626 0.000 0.000
-1.813 7.032 0.000
0.000 0.000 12.146
Ba Ho Sc O
4 2 2 10
direct
0.848 0.696 0.805
0.092 0.184 0.674
0.152 0.304 0.305
0.908 0.816 0.174
0.785 0.569 0.524
0.215 0.431 0.024
0.528 0.055 0.949
0.472 0.945 0.449
0.375 0.749 0.996
0.682 0.363 0.913
0.492 0.984 0.791
0.276 0.551 0.648
0.949 0.898 0.523
0.625 0.251 0.496
0.318 0.637 0.413
0.508 0.016 0.291
0.724 0.449 0.148
0.051 0.102 0.023